{"formula": "Li3Ac4Tl16", "functional": "GGA-PBE", "state": "relaxed", "cell": [[7.181, 0.000, 0.000], [0.000, 7.181, 0.000], [0.000, 0.000, 13.025]], "species": ["Li", "Li", "Li", "Ac", "Ac", "Ac", "Ac", "Tl", "Tl", "Tl", "Tl", "Tl", "Tl", "Tl", "Tl", "Tl", "Tl", "Tl", "Tl", "Tl", "Tl", "Tl", "Tl"], "frac_coords": [[0.000, 0.500, 0.500], [0.000, 0.000, 0.000], [0.500, 0.000, 0.500], [0.500, 0.000, 0.812], [0.000, 0.500, 0.188], [0.000, 0.500, 0.812], [0.500, 0.000, 0.188], [0.000, 0.000, 0.785], [0.272, 0.272, 0.000], [0.500, 0.500, 0.807], [0.728, 0.272, 0.000], [0.500, 0.500, 0.193], [0.728, 0.728, 0.000], [0.000, 0.000, 0.215], [0.743, 0.743, 0.622], [0.743, 0.257, 0.378], [0.257, 0.257, 0.622], [0.257, 0.743, 0.378], [0.272, 0.728, 0.000], [0.743, 0.743, 0.378], [0.743, 0.257, 0.622], [0.257, 0.257, 0.378], [0.257, 0.743, 0.622]], "dos_at_fermi_per_ev_cell": 11.7, "formation_energy_mev_per_atom": -241}